Compound: SrTcRh
Source: the Alexandria database
Functional: PBE
Structure: relaxed

Values from the calculation:
E_form = 0.81 eV/atom
Excess energy over the best structure of this formula in the dataset = 720 meV per atom
Total moment = 0.00 μB/atom

Lattice parameters (Å, degrees): 3.096 3.096 7.114 90.00 90.00 120.00
Positions (direct):
Sr (0.000, 0.000, 0.000)
Tc (0.667, 0.333, 0.371)
Rh (0.333, 0.667, 0.636)


Compound: Ce2ErCo
Source: the Alexandria database
Functional: PBE
Structure: relaxed

Values from the calculation:
E_form = 0.31 eV/atom
Excess energy over the best structure of this formula in the dataset = 444 meV per atom
Total moment = 0.25 μB/atom

Lattice parameters (Å, degrees): 4.873 4.873 4.873 67.95 67.95 67.95
Positions (direct):
Ce (0.220, 0.220, 0.220)
Ce (0.780, 0.780, 0.780)
Er (0.500, 0.500, 0.500)
Co (0.000, 0.000, 0.000)